Mg2Mn3O8 | PBE with a Hubbard U | optimized geometry

Cell lengths 5.969, 5.969, 5.969 Å; angles 58.96, 58.96, 58.96 degrees
Positions (direct):
Mg  0.118  0.118  0.118
Mg  0.500  0.500  0.500
Mn  0.502  0.993  0.502
Mn  0.502  0.502  0.993
Mn  0.993  0.502  0.502
O  0.261  0.261  0.261
O  0.710  0.256  0.256
O  0.256  0.256  0.710
O  0.256  0.710  0.256
O  0.747  0.747  0.297
O  0.747  0.297  0.747
O  0.297  0.747  0.747
O  0.735  0.735  0.735

total moment = 9.0 μB/cell
SG = R3m
density = 3.86 Mg/m³
E_tot = -0.499 Ry/atom